The following is a DFT calculation (GGA-PBE) of Sr2HoPaN4 after structural relaxation.

Its uncorrected formation energy is -1.377 eV per atom. The uncorrected energy comes out at -7.7196 eV per atom.

The structure belongs to space group P2/m (No. 10); the cell edges are 6.1497, 3.6191 and 6.3511 Å and the angles 90.00°, 108.63° and 90.00°. The asymmetric unit holds Sr at (0.0000, 0.0000, 0.0000), Sr at (0.5000, 0.5000, 0.0000), Ho at (0.0000, 0.5000, 0.5000), Pa at (0.5000, 0.0000, 0.5000), N at (0.2530, 0.0000, 0.7041) and N at (0.2751, 0.5000, 0.2964).

The following is a DFT calculation (GGA-PBE) of Zr2ZnSe after structural relaxation.

The value obtained for the offset from the most stable computed form is 837 meV per atom. Its uncorrected formation energy is 0.154 eV per atom. The uncorrected energy comes out at -5.3096 eV per atom.

The structure belongs to space group F-43m (No. 216); the cell edges are 6.8851, 6.8851 and 6.8851 Å and the angles 90.00°, 90.00° and 90.00°. The asymmetric unit holds Zr at (0.0000, 0.0000, 0.0000), Zr at (0.2500, 0.2500, 0.2500), Zn at (0.0000, 0.0000, 0.5000) and Se at (0.2500, 0.2500, 0.7500).

The following is a DFT calculation (GGA-PBE) of GaCuSi after structural relaxation.

Its uncorrected formation energy is 0.083 eV per atom. The uncorrected energy comes out at -4.0989 eV per atom.

The structure belongs to space group P1 (No. 1); the cell edges are 2.7320, 5.7771 and 5.8461 Å and the angles 89.90°, 89.80° and 90.00°. The asymmetric unit holds Ga at (0.0000, 0.0000, 0.0000), Ga at (0.0002, 0.4606, 0.0003), Cu at (0.5007, 0.2295, 0.6423), Cu at (0.5029, 0.7307, 0.7395), Si at (0.0017, 0.5134, 0.4284) and Si at (0.0017, 0.9465, 0.4277).

The following is a DFT calculation (GGA-PBE) of LiDy3O after structural relaxation.

Its uncorrected formation energy is -1.041 eV per atom. The uncorrected energy comes out at -5.1763 eV per atom.

The structure belongs to space group Pm-3m (No. 221); the cell edges are 4.8039, 4.8039 and 4.8039 Å and the angles 90.00°, 90.00° and 90.00°. The asymmetric unit holds Li at (0.0000, 0.0000, 0.0000), Dy at (0.0000, 0.5000, 0.5000) and O at (0.5000, 0.5000, 0.5000).

Which of these has the lowest uncorrected energy?
Sr2HoPaN4

Which value of uncorrected energy does entry 3 give?
-4.0989 eV per atom